DFT (GGA-PBE) results for an optimized crystal structure of Dy2Ni5Ge3.

Unit cell a=3.8738 b=3.8738 c=10.7244 alpha=90.00 beta=90.00 gamma=90.00
Space group P-4m2 (No. 115)
Symmetry-distinct sites (fractional):
1 Dy 0.0000 0.5000 0.2085 (multiplicity 2)
2 Ni 0.0000 0.0000 0.0000 (multiplicity 1)
3 Ni 0.0000 0.0000 0.5000 (multiplicity 1)
4 Ni 0.0000 0.5000 0.8649 (multiplicity 2)
5 Ni 0.5000 0.5000 0.0000 (multiplicity 1)
6 Ge 0.0000 0.5000 0.6519 (multiplicity 2)
7 Ge 0.5000 0.5000 0.5000 (multiplicity 1)

**Energy relative to the elements**: -0.390 eV/atom
**Density**: 8.63 Mg/m³
**ΔE to the lowest computed polymorph**: 0.195 eV/atom
**Crystal system**: tetragonal

***

DFT (GGA-PBE) results for an optimized crystal structure of DyNi2Ge.

Unit cell a=4.0908 b=4.0908 c=13.8132 alpha=90.00 beta=90.00 gamma=120.00
Space group R-3m (No. 166, hexagonal axes)
Symmetry-distinct sites (fractional):
1 Dy 0.0000 0.0000 0.0000 (multiplicity 3)
2 Ni 0.0000 0.0000 0.2021 (multiplicity 6)
3 Ge 0.0000 0.0000 0.5000 (multiplicity 3)

**Energy relative to the elements**: -0.572 eV/atom
**Density**: 8.77 Mg/m³
**Crystal system**: trigonal

***

DFT (GGA-PBE) results for an optimized crystal structure of Dy2Ni3Ge5.

Unit cell a=4.1271 b=24.0912 c=6.7302 alpha=90.00 beta=90.00 gamma=90.00
Space group Cmc2_1 (No. 36)
Symmetry-distinct sites (fractional):
1 Dy 0.0000 0.0234 0.0000 (multiplicity 4)
2 Dy 0.0000 0.3264 0.0081 (multiplicity 4)
3 Ni 0.0000 0.1065 0.2714 (multiplicity 4)
4 Ni 0.0000 0.2785 0.4799 (multiplicity 4)
5 Ni 0.0000 0.4465 0.2175 (multiplicity 4)
6 Ge 0.0000 0.0953 0.6350 (multiplicity 4)
7 Ge 0.0000 0.2034 0.1951 (multiplicity 4)
8 Ge 0.0000 0.2139 0.7842 (multiplicity 4)
9 Ge 0.0000 0.3800 0.5137 (multiplicity 4)
10 Ge 0.0000 0.4504 0.8342 (multiplicity 4)

**Energy relative to the elements**: -0.567 eV/atom
**Density**: 8.58 Mg/m³
**ΔE to the lowest computed polymorph**: 0.068 eV/atom
**Crystal system**: orthorhombic

***

DFT (GGA-PBE) results for an optimized crystal structure of Dy5Ni2Ge.

Unit cell a=7.5659 b=7.5659 c=12.9338 alpha=90.00 beta=90.00 gamma=90.00
Space group I4/mcm (No. 140)
Symmetry-distinct sites (fractional):
1 Dy 0.0000 0.0000 0.0000 (multiplicity 4)
2 Dy 0.1612 0.3388 0.1411 (multiplicity 16)
3 Ni 0.1268 0.3732 0.5000 (multiplicity 8)
4 Ge 0.0000 0.0000 0.2500 (multiplicity 4)

**Energy relative to the elements**: -0.469 eV/atom
**Density**: 8.99 Mg/m³
**Crystal system**: tetragonal

***

DFT (GGA-PBE) results for an optimized crystal structure of Dy4Ni3Ge.

Unit cell a=3.9284 b=4.1071 c=10.3431 alpha=90.00 beta=90.00 gamma=90.00
Space group Pmm2 (No. 25)
Symmetry-distinct sites (fractional):
1 Dy 0.0000 0.0000 0.0000 (multiplicity 1)
2 Dy 0.0000 0.5000 0.2735 (multiplicity 1)
3 Dy 0.5000 0.0000 0.4868 (multiplicity 1)
4 Dy 0.5000 0.5000 0.7762 (multiplicity 1)
5 Ni 0.0000 0.5000 0.5578 (multiplicity 1)
6 Ni 0.5000 0.0000 0.2026 (multiplicity 1)
7 Ni 0.5000 0.5000 0.0649 (multiplicity 1)
8 Ge 0.0000 0.0000 0.7051 (multiplicity 1)

**Energy relative to the elements**: -0.550 eV/atom
**Density**: 8.94 Mg/m³
**Crystal system**: orthorhombic

***

DFT (GGA-PBE) results for an optimized crystal structure of Dy2Ni3Ge2.

Unit cell a=10.2290 b=3.8450 c=6.5959 alpha=90.00 beta=114.76 gamma=90.00
Space group C2/m (No. 12)
Symmetry-distinct sites (fractional):
1 Dy 0.1334 0.0000 0.2607 (multiplicity 4)
2 Ni 0.0000 0.5000 0.5000 (multiplicity 2)
3 Ni 0.1142 0.5000 0.9296 (multiplicity 4)
4 Ge 0.1499 0.0000 0.7332 (multiplicity 4)

**Energy relative to the elements**: -0.636 eV/atom
**Density**: 9.11 Mg/m³
**Crystal system**: monoclinic

***

DFT (GGA-PBE) results for an optimized crystal structure of Dy2NiGe3.

Unit cell a=10.5184 b=4.2065 c=6.9240 alpha=90.00 beta=131.06 gamma=90.00
Space group Cm (No. 8)
Symmetry-distinct sites (fractional):
1 Dy 0.0000 0.0000 0.0000 (multiplicity 2)
2 Dy 0.1149 0.0000 0.5968 (multiplicity 2)
3 Ni 0.3821 0.0000 0.5483 (multiplicity 2)
4 Ge 0.1735 0.5000 0.9377 (multiplicity 2)
5 Ge 0.2459 0.5000 0.4256 (multiplicity 2)
6 Ge 0.3836 0.0000 0.1901 (multiplicity 2)

**Energy relative to the elements**: -0.683 eV/atom
**Density**: 8.65 Mg/m³
**ΔE to the lowest computed polymorph**: 0.029 eV/atom
**Crystal system**: monoclinic

***

DFT (GGA-PBE) results for an optimized crystal structure of DyNi3Ge.

Unit cell a=5.3909 b=7.1495 c=4.4161 alpha=90.00 beta=90.00 gamma=90.00
Space group Cmmm (No. 65)
Symmetry-distinct sites (fractional):
1 Dy 0.0000 0.0000 0.0000 (multiplicity 2)
2 Ni 0.0000 0.5000 0.0000 (multiplicity 2)
3 Ni 0.2500 0.2500 0.5000 (multiplicity 4)
4 Ge 0.0000 0.5000 0.5000 (multiplicity 2)

**Energy relative to the elements**: -0.135 eV/atom
**Density**: 8.02 Mg/m³
**Crystal system**: orthorhombic

***

DFT (GGA-PBE) results for an optimized crystal structure of DyNi4Ge2.

Unit cell a=4.0328 b=4.0328 c=21.8765 alpha=90.00 beta=90.00 gamma=120.00
Space group R-3m (No. 166, hexagonal axes)
Symmetry-distinct sites (fractional):
1 Dy 0.0000 0.0000 0.0000 (multiplicity 3)
2 Ni 0.0000 0.0000 0.1415 (multiplicity 6)
3 Ni 0.0000 0.0000 0.4392 (multiplicity 6)
4 Ge 0.0000 0.0000 0.2492 (multiplicity 6)

**Energy relative to the elements**: -0.480 eV/atom
**Density**: 8.77 Mg/m³
**Crystal system**: trigonal

***

DFT (GGA-PBE) results for an optimized crystal structure of DyNiGe2Os.

Unit cell a=4.0396 b=4.0396 c=10.4860 alpha=90.00 beta=90.00 gamma=90.00
Space group I-4m2 (No. 119)
Symmetry-distinct sites (fractional):
1 Dy 0.0000 0.0000 0.0000 (multiplicity 2)
2 Ni 0.0000 0.5000 0.7500 (multiplicity 2)
3 Ge 0.0000 0.0000 0.3783 (multiplicity 4)
4 Os 0.0000 0.5000 0.2500 (multiplicity 2)

**Energy relative to the elements**: -0.509 eV/atom
**Density**: 10.81 Mg/m³
**Crystal system**: tetragonal